No. 1
! Li4FeP PBE-GGA optimized geometry; values from VASP
! Calculated total energy, eV per atom: -3.3422
! Energy of formation, eV per atom: 0.246
! V, Å³/atom: 12.82
&SYSTEM
  ibrav = 0, nat = 6, ntyp = 3
/
ATOMIC_SPECIES
Li 6.94 Li.upf
Fe 55.84 Fe.upf
P 30.97 P.upf
CELL_PARAMETERS angstrom
0.0000 3.3751 3.3751
3.3751 0.0000 3.3751
3.3751 3.3751 0.0000
ATOMIC_POSITIONS crystal
Li 0.3758 0.3758 0.3758
Li 0.3758 0.3758 0.8725
Li 0.3758 0.8725 0.3758
Li 0.8725 0.3758 0.3758
Fe 0.0000 0.0000 0.0000
P 0.7500 0.7500 0.7500


No. 2
! YMgB3 PBE-GGA optimized geometry; values from VASP
! Calculated total energy, eV per atom: -4.3256
! Energy of formation, eV per atom: 1.293
! V, Å³/atom: 15.04
&SYSTEM
  ibrav = 0, nat = 5, ntyp = 3
/
ATOMIC_SPECIES
Y 88.91 Y.upf
Mg 24.30 Mg.upf
B 10.81 B.upf
CELL_PARAMETERS angstrom
4.2209 0.0000 0.0000
0.0000 4.2209 0.0000
0.0000 0.0000 4.2209
ATOMIC_POSITIONS crystal
Y 0.0000 0.0000 0.0000
Mg 0.5000 0.5000 0.5000
B 0.0000 0.5000 0.5000
B 0.5000 0.0000 0.5000
B 0.5000 0.5000 0.0000


No. 3
! Li8Mg5In PBE-GGA optimized geometry; values from VASP
! Calculated total energy, eV per atom: -1.8401
! Energy of formation, eV per atom: 0.019
! V, Å³/atom: 21.12
&SYSTEM
  ibrav = 0, nat = 14, ntyp = 3
/
ATOMIC_SPECIES
Li 6.94 Li.upf
Mg 24.30 Mg.upf
In 114.82 In.upf
CELL_PARAMETERS angstrom
-4.1554 4.1554 4.2819
4.1554 -4.1554 4.2819
4.1554 4.1554 -4.2819
ATOMIC_POSITIONS crystal
Li 0.1777 0.4057 0.5815
Li 0.3334 0.2299 0.2359
Li 0.4037 0.8223 0.2280
Li 0.5943 0.1757 0.7720
Li 0.7701 0.0060 0.1035
Li 0.8243 0.5963 0.4185
Li 0.9025 0.6666 0.8965
Li 0.9940 0.0975 0.7641
Mg 0.0430 0.4564 0.1754
Mg 0.1323 0.9570 0.4133
Mg 0.2810 0.8677 0.8246
Mg 0.5000 0.5000 0.0000
Mg 0.5436 0.7190 0.5867
In 0.7500 0.2500 0.5000